[1]
ZnCdGeW2: optimized geometry, PBE.

Structure (POSCAR):
```
ZnCdGeW2
1.0
4.682 0.000 0.000
0.000 4.849 0.000
0.000 0.000 4.682
Ge Zn W Cd
1 1 2 1
Cartesian
0.000 0.000 0.000
2.341 2.424 2.341
0.000 0.000 2.341
2.341 0.000 0.000
0.000 2.424 0.000
```

---

[2]
LaMo2Ir: optimized geometry, PBE.

Structure (POSCAR):
```
LaMo2Ir
1.0
7.856 0.000 0.000
0.000 7.856 0.000
3.928 3.928 2.755
Mo Ir La
4 2 2
Cartesian
6.332 1.964 0.689
1.525 5.892 0.689
5.892 5.453 2.066
9.820 10.260 2.066
0.000 0.000 0.000
7.856 3.928 1.378
3.928 3.928 0.000
3.928 7.856 1.378
```

The energy above the most stable polymorph in this dataset comes out at 1.74 eV/f.u.

---

In eV/atom, the DFT total energy values for the records above are, in order, -4.959 -8.284.
In eV per atom, the formation enthalpy at 0 K values for the records above are, in order, 1.58 0.58.